No. 1
Hg3BAs: optimized geometry, GGA-PBEsol.

## Properties
**DFT formation energy**: 0.718 eV per atom
**Space group**: Pm-3m
**Raw total energy**: -10.232 eV/f.u.
**Fermi-level density of states**: 0.783 states/eV per atom

Cell lengths 4.633, 4.633, 4.633 Å; angles 90.00, 90.00, 90.00 degrees
Sites, in units of the cell vectors:
As: 0.500 0.500 0.500
B: 0.000 0.000 0.000
Hg: 0.000 0.500 0.000
Hg: 0.000 0.000 0.500
Hg: 0.500 0.000 0.000

=====

No. 2
HgB3As: optimized geometry, GGA-PBEsol.

## Properties
**DFT formation energy**: 2.254 eV per atom
**Space group**: Pm-3m
**Raw total energy**: -15.452 eV/f.u.
**Fermi-level density of states**: 0.426 states/eV per atom
**Energy above the most stable polymorph in this dataset**: 459 meV/atom

Cell lengths 4.298, 4.298, 4.298 Å; angles 90.00, 90.00, 90.00 degrees
Sites, in units of the cell vectors:
As: 0.500 0.500 0.500
B: 0.000 0.500 0.000
B: 0.000 0.000 0.500
B: 0.500 0.000 0.000
Hg: 0.000 0.000 0.000

=====

No. 3
HgBAsSe2: optimized geometry, GGA-PBEsol.

## Properties
**Space group**: P4/mmm
**Raw total energy**: -17.191 eV/f.u.
**Fermi-level density of states**: 0.670 states/eV per atom
**ΔE_f (raw)**: 0.640 eV per atom

Cell lengths 4.127, 4.719, 4.719 Å; angles 90.00, 90.00, 90.00 degrees
Sites, in units of the cell vectors:
As: 0.500 0.000 0.000
B: 0.000 0.000 0.000
Hg: 0.500 0.500 0.500
Se: 0.000 0.000 0.500
Se: 0.000 0.500 0.000